DFT (GGA-PBE) results for a relaxed structure of PaGaNi.

The space group is F-43m (No. 216) and the conventional cell measures 6.206, 6.206 and 6.206 Å, with angles of 90.00, 90.00 and 90.00 degrees. Symmetry generates all atoms from Pa at (0.000, 0.000, 0.000), Ga at (0.000, 0.000, 0.500) and Ni at (0.250, 0.250, 0.250).

Its calculated formation energy is -0.42 eV/atom. As for the density: 9.99 g/cm3. The value obtained for the uncorrected energy is -6.521 eV/atom. The spin magnetization comes out at 0.000 μB per atom. Its calculated volume is 59.76 Å³/f.u.

***

DFT (GGA-PBE) results for a relaxed structure of Pa2GaNi9.

The space group is R-3m (No. 166, hexagonal axes) and the conventional cell measures 4.8419, 4.8419 and 24.5295 Å, with angles of 90.00, 90.00 and 120.00 degrees. Symmetry generates all atoms from Pa at (0.0000, 0.0000, 0.1344), Ga at (0.0000, 0.0000, 0.0000), Ni at (0.0000, 0.0000, 0.3329), Ni at (0.0000, 0.0000, 0.5000) and Ni at (0.0013, 0.5007, 0.9168).

Its calculated formation energy is -0.26 eV/atom. As for the density: 10.60 g/cm3. The value obtained for the uncorrected energy is -6.426 eV/atom. The spin magnetization comes out at 0.000 μB per atom. Its calculated volume is 166.01 Å³/f.u.